# 1
4
Lattice="4.6501 0.0000 0.0000 0.0000 4.0251 0.0000 -0.3191 0.0000 4.6519" Properties=species:S:1:pos:R:3 comment="CaIrCl2 | Alexandria via LeMat-Bulk | PBE | optimized geometry" dos_at_fermi_per_ev_cell=0.5 m_tot_mub_per_cell=0.9 space_group="P2/m (10)" e_form_raw_mev_per_atom=-539 de_polymorph_mev_per_atom=237 pbc="T T T"
Ca 0.0000 0.0000 0.0000
Ir 2.1655 0.0000 2.3260
Cl 1.0819 2.0125 3.3413
Cl 3.2491 2.0125 1.3106

# 2
4
Lattice="2.0705 1.1954 7.2031 -2.0705 1.1954 7.2031 0.0000 -2.3908 7.2031" Properties=species:S:1:pos:R:3 comment="CaIrCl2 | Alexandria via LeMat-Bulk | PBE | optimized geometry" dos_at_fermi_per_ev_cell=1.7 m_tot_mub_per_cell=1.0 space_group="R-3m (166)" e_form_raw_mev_per_atom=-475 de_polymorph_mev_per_atom=300 pbc="T T T"
Ca 0.0000 0.0000 0.0000
Ir 0.0000 0.0000 10.8046
Cl 0.0000 0.0000 8.5325
Cl 0.0000 0.0000 13.0768

# 3
5
Lattice="5.3101 0.0000 0.0000 0.0000 5.3101 0.0000 0.0000 0.0000 5.3101" Properties=species:S:1:pos:R:3 comment="CaIrCl3 | Alexandria via LeMat-Bulk | PBE | optimized geometry" dos_at_fermi_per_ev_cell=10.0 m_tot_mub_per_cell=3.8 space_group="Pm-3m (221)" e_form_raw_mev_per_atom=-172 de_polymorph_mev_per_atom=450 pbc="T T T"
Ca 0.0000 0.0000 0.0000
Ir 2.6551 2.6551 2.6551
Cl 0.0000 0.0000 2.6551
Cl 0.0000 2.6551 0.0000
Cl 2.6551 0.0000 0.0000

# 4
4
Lattice="-1.8772 1.8772 5.6604 1.8772 -1.8772 5.6604 1.8772 1.8772 -5.6604" Properties=species:S:1:pos:R:3 comment="CaIrCl2 | Alexandria via LeMat-Bulk | PBE | optimized geometry" dos_at_fermi_per_ev_cell=4.9 m_tot_mub_per_cell=0.0 space_group="I-4m2 (119)" e_form_raw_mev_per_atom=-392 de_polymorph_mev_per_atom=383 pbc="T T T"
Ca 0.0000 0.0000 0.0000
Ir 0.0000 1.8772 2.8302
Cl 1.8772 0.0000 2.8302
Cl 0.0000 0.0000 5.6604

# 5
5
Lattice="4.8734 0.0000 0.0000 0.0000 4.8734 0.0000 0.0000 0.0000 4.8734" Properties=species:S:1:pos:R:3 comment="CaIrCl3 | Alexandria via LeMat-Bulk | PBE | optimized geometry" dos_at_fermi_per_ev_cell=1.3 m_tot_mub_per_cell=0.0 space_group="Pm-3m (221)" e_form_raw_mev_per_atom=-622 de_polymorph_mev_per_atom=0 pbc="T T T"
Ca 0.0000 0.0000 0.0000
Ir 2.4367 2.4367 2.4367
Cl 0.0000 2.4367 2.4367
Cl 2.4367 0.0000 2.4367
Cl 2.4367 2.4367 0.0000

# 6
4
Lattice="3.2728 0.0000 0.0000 0.0000 4.1829 0.0000 0.0000 0.0000 5.7987" Properties=species:S:1:pos:R:3 comment="CaIrCl2 | Alexandria via LeMat-Bulk | PBE | optimized geometry" dos_at_fermi_per_ev_cell=2.1 m_tot_mub_per_cell=0.0 space_group="Pmmm (47)" e_form_raw_mev_per_atom=-474 de_polymorph_mev_per_atom=301 pbc="T T T"
Ca 0.0000 0.0000 0.0000
Ir 1.6364 0.0000 2.8993
Cl 0.0000 2.0914 2.8993
Cl 1.6364 2.0914 0.0000

# 7
8
Lattice="-3.1933 3.1933 6.3243 3.1933 -3.1933 6.3243 3.1933 3.1933 -6.3243" Properties=species:S:1:pos:R:3 comment="Ca2IrCl | Alexandria via LeMat-Bulk | PBE | optimized geometry" dos_at_fermi_per_ev_cell=0.0 m_tot_mub_per_cell=0.0 space_group="I-42d (122)" e_form_raw_mev_per_atom=-624 de_polymorph_mev_per_atom=376 pbc="T T T"
Ca 4.7900 1.4471 -1.5811
Ca 1.4471 1.5967 1.5811
Ca -1.5967 1.7462 4.7432
Ca 1.7462 1.5967 7.9053
Ir 0.0000 0.0000 0.0000
Ir 0.0000 3.1933 3.1621
Cl 3.1933 0.0000 3.1621
Cl 0.0000 0.0000 6.3243

# 8
4
Lattice="0.0000 3.3856 3.3856 3.3856 0.0000 3.3856 3.3856 3.3856 0.0000" Properties=species:S:1:pos:R:3 comment="CaIrCl2 | Alexandria via LeMat-Bulk | PBE | optimized geometry" dos_at_fermi_per_ev_cell=3.9 m_tot_mub_per_cell=1.2 space_group="Fm-3m (225)" e_form_raw_mev_per_atom=-259 de_polymorph_mev_per_atom=517 pbc="T T T"
Ca 0.0000 0.0000 0.0000
Ir 3.3856 3.3856 3.3856
Cl 1.6928 1.6928 1.6928
Cl 5.0784 5.0784 5.0784

# 9
8
Lattice="-2.3599 2.3599 7.9781 2.3599 -2.3599 7.9781 2.3599 2.3599 -7.9781" Properties=species:S:1:pos:R:3 comment="CaIrCl2 | Alexandria via LeMat-Bulk | PBE | optimized geometry" dos_at_fermi_per_ev_cell=5.2 m_tot_mub_per_cell=1.6 space_group="I-42d (122)" e_form_raw_mev_per_atom=-492 de_polymorph_mev_per_atom=283 pbc="T T T"
Ca 0.0000 0.0000 0.0000
Ca 0.0000 2.3599 3.9891
Ir 2.3599 0.0000 3.9891
Ir 0.0000 0.0000 7.9781
Cl 1.1799 -0.9669 5.9836
Cl 1.3930 1.1799 1.9945
Cl 1.1799 3.3267 -1.9945
Cl 0.9669 1.1799 9.9726

# 10
4
Lattice="3.4740 0.0000 0.0000 0.0000 3.4740 0.0000 0.0000 0.0000 7.9903" Properties=species:S:1:pos:R:3 comment="CaIrCl2 | Alexandria via LeMat-Bulk | PBE | optimized geometry" dos_at_fermi_per_ev_cell=1.4 m_tot_mub_per_cell=0.0 space_group="P4mm (99)" e_form_raw_mev_per_atom=-554 de_polymorph_mev_per_atom=221 pbc="T T T"
Ca 0.0000 0.0000 0.0000
Ir 1.7370 1.7370 5.7353
Cl 0.0000 0.0000 5.2805
Cl 1.7370 1.7370 1.4245

# 11
6
Lattice="0.0000 4.4968 4.4968 4.4968 0.0000 4.4968 4.4968 4.4968 0.0000" Properties=species:S:1:pos:R:3 comment="Ca4IrCl | Alexandria via LeMat-Bulk | PBE | optimized geometry" dos_at_fermi_per_ev_cell=6.2 m_tot_mub_per_cell=0.0 space_group="F-43m (216)" e_form_raw_mev_per_atom=460 pbc="T T T"
Ca 3.3867 3.3867 3.3867
Ca 5.6069 5.6069 3.3867
Ca 5.6069 3.3867 5.6069
Ca 3.3867 5.6069 5.6069
Ir 6.7452 6.7452 6.7452
Cl 0.0000 0.0000 0.0000

# 12
8
Lattice="4.1604 -5.3516 0.0000 4.1604 5.3516 0.0000 -2.7140 0.0000 6.1350" Properties=species:S:1:pos:R:3 comment="CaIrCl6 | Alexandria via LeMat-Bulk | PBE | optimized geometry" dos_at_fermi_per_ev_cell=7.8 m_tot_mub_per_cell=1.1 space_group="C2/m (12)" e_form_raw_mev_per_atom=-1126 de_polymorph_mev_per_atom=0 pbc="T T T"
Ca 0.0000 0.0000 0.0000
Ir -1.3570 0.0000 3.0675
Cl 2.4861 3.6931 1.4281
Cl 0.9436 0.0000 2.5969
Cl 3.1206 3.6931 4.7069
Cl 2.4861 -3.6931 1.4281
Cl 4.6632 0.0000 3.5381
Cl 3.1206 -3.6931 4.7069

# 13
18
Lattice="6.7304 0.0000 0.0000 -3.3652 5.8287 0.0000 0.0000 0.0000 13.6771" Properties=species:S:1:pos:R:3 comment="KCaIrCl6 | Alexandria via LeMat-Bulk | PBE | optimized geometry" dos_at_fermi_per_ev_cell=0.0 m_tot_mub_per_cell=0.0 space_group="P-31c (163)" e_form_raw_mev_per_atom=-1445 pbc="T T T"
K 0.0000 0.0000 0.0000
K 0.0000 0.0000 6.8386
Ca 0.0000 3.8858 3.4193
Ca 3.3652 1.9429 10.2579
Ir 0.0000 3.8858 10.2579
Ir 3.3652 1.9429 3.4193
Cl -1.0136 2.2513 8.8572
Cl -1.9223 3.8252 11.6585
Cl 1.0136 2.2513 11.6585
Cl -0.9087 5.5808 8.8572
Cl 2.4565 0.2479 2.0187
Cl 1.4429 2.0034 4.8199
Cl 1.9223 3.8252 8.8572
Cl 0.9087 5.5808 11.6585
Cl 4.2739 0.2479 4.8199
Cl 2.3516 3.5773 2.0187
Cl 5.2875 2.0034 2.0187
Cl 4.3788 3.5773 4.8199

# 14
18
Lattice="6.5144 0.0000 0.0000 -3.2572 5.6416 0.0000 0.0000 0.0000 11.6199" Properties=species:S:1:pos:R:3 comment="LiCaIrCl6 | Alexandria via LeMat-Bulk | PBE | optimized geometry" dos_at_fermi_per_ev_cell=0.0 m_tot_mub_per_cell=0.0 space_group="P-31c (163)" e_form_raw_mev_per_atom=-1355 pbc="T T T"
Li 0.0000 0.0000 0.0000
Li 0.0000 0.0000 5.8099
Ca 0.0000 3.7611 2.9050
Ca 3.2572 1.8805 8.7149
Ir 0.0000 3.7611 8.7149
Ir 3.2572 1.8805 2.9050
Cl -0.9307 2.0794 7.3048
Cl -1.9217 3.7959 10.1251
Cl 0.9307 2.0794 10.1251
Cl -0.9910 5.4079 7.3048
Cl 2.2662 0.2337 1.4948
Cl 1.3355 1.8457 4.3151
Cl 1.9217 3.7959 7.3048
Cl 0.9910 5.4079 10.1251
Cl 4.2483 0.2337 4.3151
Cl 2.3265 3.5622 1.4948
Cl 5.1789 1.8457 1.4948
Cl 4.1879 3.5622 4.3151

no.,uncorrected energy (eV per cell)
1,-16.7
2,-16.5
3,-17.3
4,-16.1
5,-19.5
6,-16.5
7,-34.4
8,-15.6
9,-33.1
10,-16.8
11,-16.0
12,-31.0
13,-72.1
14,-72.1